Below is a geometry-optimized KSeS2 structure, with properties calculated at the PBEsol level.

Computed properties:
- raw formation energy (eV/f.u.) = -0.869
- magnetization (μB per formula unit) = 0.0
- E_tot (eV for the cell shown) = -29.242

a = 7.9076 Å, b = 7.9076 Å, c = 7.9076 Å
α = 133.79°, β = 133.79°, γ = 67.42°
Closest atoms and distances in Å follow each position.
Fractional coordinates of all 8 atoms:
K: 0.0000 0.0000 0.0000  4 S 3.19
K: 0.7500 0.2500 0.5000  4 S 3.19
Se: 0.2500 0.7500 0.5000  4 S 2.42
Se: 0.5000 0.5000 0.0000  4 S 2.42
S: 0.2367 0.6250 0.1117  2 Se 2.42
S: 0.3750 0.4867 0.6117  2 Se 2.42
S: 0.5133 0.1250 0.8883  2 Se 2.42
S: 0.8750 0.7633 0.3883  2 Se 2.42

Below is a geometry-optimized K2SeS2 structure, with properties calculated at the PBEsol level.

Computed properties:
- raw formation energy (eV/f.u.) = -3.050
- magnetization (μB per formula unit) = 0.0
- E_tot (eV for the cell shown) = -35.870

a = 7.1050 Å, b = 7.1050 Å, c = 4.7215 Å
α = 90.00°, β = 90.00°, γ = 90.00°
Closest atoms and distances in Å follow each position.
Fractional coordinates of all 10 atoms:
K: 0.1518 0.3482 0.0000  6 S 2.98-3.27, 1 K 3.05
K: 0.3482 0.8482 0.0000  6 S 2.98-3.27, 1 K 3.05
K: 0.6518 0.1518 0.0000  6 S 2.98-3.27, 1 K 3.05
K: 0.8482 0.6518 0.0000  6 S 2.98-3.27, 1 K 3.05
Se: 0.0000 0.0000 0.5000  4 S 2.65
Se: 0.5000 0.5000 0.5000  4 S 2.65
S: 0.1666 0.6666 0.5000  2 Se 2.65
S: 0.3334 0.1666 0.5000  2 Se 2.65
S: 0.6666 0.8334 0.5000  2 Se 2.65
S: 0.8334 0.3334 0.5000  2 Se 2.65

Below is a geometry-optimized KSmS2 structure, with properties calculated at the PBEsol level.

Computed properties:
- raw formation energy (eV/f.u.) = -7.526
- magnetization (μB per formula unit) = 0.0
- E_tot (eV for the cell shown) = -22.520

a = 7.6416 Å, b = 7.6416 Å, c = 7.6416 Å
α = 30.96°, β = 30.96°, γ = 30.96°
Closest atoms and distances in Å follow each position.
Fractional coordinates of all 4 atoms:
K: 0.0000 0.0000 0.0000  6 S 3.18
Sm: 0.5000 0.5000 0.5000  6 S 2.80
S: 0.2357 0.2357 0.2357  3 Sm 2.80
S: 0.7643 0.7643 0.7643  3 Sm 2.80

> Look up the E_tot of the third one.

-22.520 eV for the cell shown